Record 1
# CoIr2Cl | the Alexandria database | PBE-GGA | optimized geometry
data_CoIr2Cl
_cell_length_a 5.590
_cell_length_b 7.375
_cell_length_c 2.750
_cell_angle_alpha 90.00
_cell_angle_beta 90.00
_cell_angle_gamma 90.00
_symmetry_space_group_name_H-M 'C m m m'
_symmetry_Int_Tables_number 65
_symmetry_space_group_name_Hall '-C 2 2'
loop_
_atom_site_label
_atom_site_fract_x
_atom_site_fract_y
_atom_site_fract_z
Co1 0.000 0.000 0.000
Ir1 0.250 0.250 0.500
Cl1 0.000 0.500 0.000
# ΔE_f (raw) = 0.971 eV/atom
# VASP energy = -45.579 eV per cell
# ΔE to the lowest computed polymorph = 0.558 eV/atom
# DOS(E_F) = 1.61 states/eV per atom

Record 2
# Zr3Sb2H | the Alexandria database | PBE-GGA | optimized geometry
data_Zr3Sb2H
_cell_length_a 13.691
_cell_length_b 5.686
_cell_length_c 6.284
_cell_angle_alpha 90.00
_cell_angle_beta 103.26
_cell_angle_gamma 90.00
_symmetry_space_group_name_H-M 'C 1 2/c 1'
_symmetry_Int_Tables_number 15
_symmetry_space_group_name_Hall '-C 2yc'
loop_
_atom_site_label
_atom_site_fract_x
_atom_site_fract_y
_atom_site_fract_z
Zr1 0.000 0.001 0.250
Zr2 0.111 0.500 0.055
Sb1 0.190 0.000 0.095
H1 0.000 0.388 0.250
# VASP energy = -158.628 eV per cell
# ΔE to the lowest computed polymorph = 0.243 eV/atom
# DOS(E_F) = 0.55 states/eV per atom

Record 3
# Na3TlPb | the Alexandria database | PBE-GGA | optimized geometry
data_Na3TlPb
_cell_length_a 3.438
_cell_length_b 10.657
_cell_length_c 8.454
_cell_angle_alpha 90.00
_cell_angle_beta 90.10
_cell_angle_gamma 90.00
_symmetry_space_group_name_H-M 'P 1 21/m 1'
_symmetry_Int_Tables_number 11
_symmetry_space_group_name_Hall '-P 2yb'
loop_
_atom_site_label
_atom_site_fract_x
_atom_site_fract_y
_atom_site_fract_z
Na1 0.000 0.250 0.046
Na2 0.002 0.566 0.321
Tl1 0.500 0.250 0.387
Pb1 0.500 0.000 0.000
# formation energy = -0.0604 eV per atom
# VASP energy = -20.668 eV per cell
# ΔE to the lowest computed polymorph = 0.066 eV/atom
# DOS(E_F) = 0.72 states/eV per atom

Record 4
# Zr2InRu | the Alexandria database | PBE-GGA | optimized geometry
data_Zr2InRu
_cell_length_a 3.338
_cell_length_b 4.801
_cell_length_c 10.082
_cell_angle_alpha 90.00
_cell_angle_beta 90.00
_cell_angle_gamma 90.00
_symmetry_space_group_name_H-M 'I m m 2'
_symmetry_Int_Tables_number 44
_symmetry_space_group_name_Hall 'I 2 -2'
loop_
_atom_site_label
_atom_site_fract_x
_atom_site_fract_y
_atom_site_fract_z
Zr1 0.000 0.000 0.000
Zr2 0.000 0.500 0.222
In1 0.000 0.000 0.441
Ru1 0.000 0.500 0.712
# formation energy = -0.2899 eV per atom
# VASP energy = -60.540 eV per cell
# DOS(E_F) = 0.64 states/eV per atom